[1]
The following is a PBE calculation of an optimized crystal structure of Sb3Au, from the Alexandria database.

Mass density = 8.8 g cm⁻³
Formation energy without anion corrections = 0.001 eV/atom
Offset from the most stable computed form = 15.0 meV per atom

Cell lengths 5.9777, 8.3893, 4.2202 Å; angles 90.00, 90.00, 90.00 degrees
Space group Cmmm (No. 65)
Asymmetric unit:
Sb1 0.0000 0.0000 0.0000
Sb2 0.0000 0.2748 0.5000
Au1 0.0000 0.5000 0.0000

[2]
The following is a PBE calculation of an optimized crystal structure of Sb4Au5, from the Alexandria database.

Mass density = 12.1 g cm⁻³
Formation energy without anion corrections = 0.118 eV/atom
Offset from the most stable computed form = 107.1 meV per atom

Cell lengths 8.9275, 8.9275, 5.8298 Å; angles 90.00, 90.00, 120.00 degrees
Space group P6_3/mcm (No. 193)
Asymmetric unit:
Sb1 0.0000 0.0000 0.0000
Sb2 0.0000 0.3892 0.2500
Au1 0.0000 0.2961 0.7500
Au2 0.3333 0.6667 0.0000

[3]
The following is a PBE calculation of an optimized crystal structure of Sb3Au7, from the Alexandria database.

Mass density = 13.8 g cm⁻³
Formation energy without anion corrections = 0.020 eV/atom

Cell lengths 3.6745, 5.8002, 10.3685 Å; angles 74.37, 79.96, 89.86 degrees
Space group P-1 (No. 2)
Asymmetric unit:
Sb1 0.0000 0.0000 0.0000
Sb2 0.2046 0.7005 0.5997
Au1 0.0000 0.5000 0.0000
Au2 0.1876 0.1892 0.6242
Au3 0.4001 0.1566 0.1958
Au4 0.4055 0.6508 0.1916

[4]
The following is a PBE calculation of an optimized crystal structure of Sb3Au, from the Alexandria database.

Mass density = 9.3 g cm⁻³
Formation energy without anion corrections = 0.233 eV/atom
Offset from the most stable computed form = 247.3 meV per atom

Cell lengths 7.3729, 7.3729, 7.3729 Å; angles 90.00, 90.00, 90.00 degrees
Space group Fm-3m (No. 225)
Asymmetric unit:
Sb1 0.0000 0.0000 0.0000
Sb2 0.2500 0.2500 0.2500
Au1 0.0000 0.0000 0.5000

[5]
The following is a PBE calculation of an optimized crystal structure of Sb5Au3, from the Alexandria database.

Mass density = 10.0 g cm⁻³
Formation energy without anion corrections = 0.172 eV/atom
Offset from the most stable computed form = 96.3 meV per atom

Cell lengths 8.0861, 11.4056, 4.3089 Å; angles 90.00, 90.00, 90.00 degrees
Space group Cmmm (No. 65)
Asymmetric unit:
Sb1 0.0000 0.0000 0.0000
Sb2 0.2282 0.5000 0.5000
Sb3 0.2500 0.2500 0.0000
Au1 0.0000 0.2919 0.5000
Au2 0.0000 0.5000 0.0000

[6]
The following is a PBE calculation of an optimized crystal structure of Sb3Au, from the Alexandria database.

Mass density = 8.9 g cm⁻³
Formation energy without anion corrections = 0.117 eV/atom
Offset from the most stable computed form = 131.3 meV per atom

Cell lengths 4.0745, 4.3104, 11.9590 Å; angles 90.00, 90.00, 90.00 degrees
Space group Immm (No. 71)
Asymmetric unit:
Sb1 0.0000 0.0000 0.0000
Sb2 0.0000 0.5000 0.1918
Au1 0.0000 0.0000 0.5000

[7]
The following is a PBE calculation of an optimized crystal structure of SbAu3, from the Alexandria database.

Mass density = 14.8 g cm⁻³
Formation energy without anion corrections = 0.053 eV/atom

Cell lengths 4.3109, 4.3109, 4.3109 Å; angles 90.00, 90.00, 90.00 degrees
Space group Pm-3m (No. 221)
Asymmetric unit:
Sb1 0.0000 0.0000 0.0000
Au1 0.0000 0.5000 0.5000

[8]
The following is a PBE calculation of an optimized crystal structure of Sb3Au, from the Alexandria database.

Mass density = 9.2 g cm⁻³
Formation energy without anion corrections = 0.209 eV/atom
Offset from the most stable computed form = 223.2 meV per atom

Cell lengths 3.3038, 3.3038, 10.7181 Å; angles 90.00, 90.00, 120.00 degrees
Space group P-6m2 (No. 187)
Asymmetric unit:
Sb1 0.0000 0.0000 0.0000
Sb2 0.6667 0.3333 0.2836
Au1 0.0000 0.0000 0.5000

[9]
The following is a PBE calculation of an optimized crystal structure of Sb3Au, from the Alexandria database.

Mass density = 8.8 g cm⁻³
Formation energy without anion corrections = 0.060 eV/atom
Offset from the most stable computed form = 74.4 meV per atom

Cell lengths 5.9596, 5.9596, 5.9596 Å; angles 90.00, 90.00, 90.00 degrees
Space group Im-3m (No. 229)
Asymmetric unit:
Sb1 0.0000 0.0000 0.5000
Au1 0.0000 0.0000 0.0000

[10]
The following is a PBE calculation of an optimized crystal structure of Sb5Au4, from the Alexandria database.

Mass density = 10.4 g cm⁻³
Formation energy without anion corrections = 0.115 eV/atom
Offset from the most stable computed form = 0.0 meV per atom

Cell lengths 8.1105, 8.1105, 7.8285 Å; angles 90.00, 90.00, 120.00 degrees
Space group P6_3/mcm (No. 193)
Asymmetric unit:
Sb1 0.0000 0.2482 0.2500
Sb2 0.3333 0.6667 0.0000
Au1 0.0000 0.0000 0.0000
Au2 0.0000 0.4120 0.7500

[11]
The following is a PBE calculation of an optimized crystal structure of Sb7Au6, from the Alexandria database.

Mass density = 9.7 g cm⁻³
Formation energy without anion corrections = 0.250 eV/atom

Cell lengths 6.5504, 6.5504, 28.0574 Å; angles 90.00, 90.00, 120.00 degrees
Space group R-3m (No. 166, hexagonal axes)
Asymmetric unit:
Sb1 0.0000 0.0000 0.0000
Sb2 0.0019 0.5010 0.4215
Au1 0.0000 0.0000 0.1667
Au2 0.0000 0.0000 0.3227
Au3 0.0000 0.0000 0.4188

[12]
The following is a PBE calculation of an optimized crystal structure of Sb3Au, from the Alexandria database.

Mass density = 8.7 g cm⁻³
Formation energy without anion corrections = 0.122 eV/atom
Offset from the most stable computed form = 136.4 meV per atom

Cell lengths 3.3439, 12.1274, 5.2894 Å; angles 90.00, 90.00, 90.00 degrees
Space group Imm2 (No. 44)
Asymmetric unit:
Sb1 0.0000 0.0000 0.0000
Sb2 0.0000 0.1846 0.6115
Au1 0.0000 0.5000 0.9521

[13]
The following is a PBE calculation of an optimized crystal structure of Sb2Au3, from the Alexandria database.

Mass density = 12.0 g cm⁻³
Formation energy without anion corrections = -0.015 eV/atom

Cell lengths 4.1451, 4.1451, 23.1877 Å; angles 90.00, 90.00, 120.00 degrees
Space group R-3m (No. 166, hexagonal axes)
Asymmetric unit:
Sb1 0.0000 0.0000 0.0965
Au1 0.0000 0.0000 0.3014
Au2 0.0000 0.0000 0.5000

[14]
The following is a PBE calculation of an optimized crystal structure of Sb3Au, from the Alexandria database.

Mass density = 8.4 g cm⁻³
Formation energy without anion corrections = 0.065 eV/atom
Offset from the most stable computed form = 79.6 meV per atom

Cell lengths 3.0762, 3.0762, 11.6862 Å; angles 90.00, 90.00, 90.00 degrees
Space group P4/mmm (No. 123)
Asymmetric unit:
Sb1 0.0000 0.0000 0.0000
Sb2 0.0000 0.0000 0.2661
Au1 0.0000 0.0000 0.5000

[15]
The following is a PBE calculation of an optimized crystal structure of Sb3Au, from the Alexandria database.

Mass density = 5.6 g cm⁻³
Formation energy without anion corrections = 0.763 eV/atom
Offset from the most stable computed form = 777.5 meV per atom

Cell lengths 5.4903, 5.4903, 5.4903 Å; angles 90.00, 90.00, 90.00 degrees
Space group Pm-3m (No. 221)
Asymmetric unit:
Sb1 0.0000 0.0000 0.5000
Au1 0.0000 0.0000 0.0000

[16]
The following is a PBE calculation of an optimized crystal structure of Sb4Au5, from the Alexandria database.

Mass density = 12.2 g cm⁻³
Formation energy without anion corrections = 0.053 eV/atom
Offset from the most stable computed form = 42.6 meV per atom

Cell lengths 9.5994, 9.5994, 4.3608 Å; angles 90.00, 90.00, 90.00 degrees
Space group I4/mmm (No. 139)
Asymmetric unit:
Sb1 0.0000 0.2963 0.0000
Au1 0.0000 0.0000 0.0000
Au2 0.1681 0.1681 0.5000

[17]
The following is a PBE calculation of an optimized crystal structure of SbAu3, from the Alexandria database.

Mass density = 13.7 g cm⁻³
Formation energy without anion corrections = 0.054 eV/atom

Cell lengths 8.1158, 7.6001, 6.3029 Å; angles 90.00, 117.55, 90.00 degrees
Space group C2/m (No. 12)
Asymmetric unit:
Sb1 0.2370 0.0000 0.2561
Au1 0.0926 0.1843 0.7632
Au2 0.1055 0.5000 0.2487

[18]
The following is a PBE calculation of an optimized crystal structure of Sb4Au5, from the Alexandria database.

Mass density = 10.7 g cm⁻³
Formation energy without anion corrections = 0.011 eV/atom
Offset from the most stable computed form = 0.0 meV per atom

Cell lengths 9.0747, 9.0747, 5.5619 Å; angles 90.00, 90.00, 90.00 degrees
Space group I4/m (No. 87)
Asymmetric unit:
Sb1 0.1306 0.7222 0.0000
Au1 0.0000 0.0000 0.0000
Au2 0.0777 0.6934 0.5000

[19]
The following is a PBE calculation of an optimized crystal structure of Sb4Au, from the Alexandria database.

Mass density = 7.6 g cm⁻³
Formation energy without anion corrections = 0.233 eV/atom
Offset from the most stable computed form = 211.4 meV per atom

Cell lengths 6.6999, 6.6999, 6.6999 Å; angles 90.00, 90.00, 90.00 degrees
Space group Im-3m (No. 229)
Asymmetric unit:
Sb1 0.2500 0.2500 0.2500
Au1 0.0000 0.0000 0.0000

[20]
The following is a PBE calculation of an optimized crystal structure of Sb3Au, from the Alexandria database.

Mass density = 8.6 g cm⁻³
Formation energy without anion corrections = 0.114 eV/atom
Offset from the most stable computed form = 128.1 meV per atom

Cell lengths 8.1014, 8.1014, 3.8281 Å; angles 90.00, 90.00, 120.00 degrees
Space group P6_3/mmc (No. 194)
Asymmetric unit:
Sb1 0.1802 0.3604 0.2500
Au1 0.3333 0.6667 0.7500

[21]
The following is a PBE calculation of an optimized crystal structure of SbAu3, from the Alexandria database.

Mass density = 13.4 g cm⁻³
Formation energy without anion corrections = 0.047 eV/atom

Cell lengths 3.8365, 3.8365, 20.8485 Å; angles 90.00, 90.00, 120.00 degrees
Space group R-3m (No. 166, hexagonal axes)
Asymmetric unit:
Sb1 0.0000 0.0000 0.0000
Au1 0.0000 0.0000 0.2481
Au2 0.0000 0.0000 0.5000

[22]
The following is a PBE calculation of an optimized crystal structure of Sb3Au5, from the Alexandria database.

Mass density = 13.2 g cm⁻³
Formation energy without anion corrections = 0.084 eV/atom
Offset from the most stable computed form = 50.1 meV per atom

Cell lengths 8.5397, 9.0010, 4.4172 Å; angles 90.00, 90.00, 90.00 degrees
Space group Cmmm (No. 65)
Asymmetric unit:
Sb1 0.0000 0.0000 0.0000
Sb2 0.0000 0.2777 0.5000
Au1 0.0000 0.5000 0.0000
Au2 0.2429 0.0000 0.5000
Au3 0.2500 0.2500 0.0000

[23]
The following is a PBE calculation of an optimized crystal structure of SbAu8, from the Alexandria database.

Mass density = 16.6 g cm⁻³
Formation energy without anion corrections = 0.035 eV/atom
Offset from the most stable computed form = 0.0 meV per atom

Cell lengths 8.9381, 8.9381, 4.2599 Å; angles 90.00, 90.00, 90.00 degrees
Space group I4/mmm (No. 139)
Asymmetric unit:
Sb1 0.0000 0.0000 0.0000
Au1 0.0000 0.3367 0.0000
Au2 0.1697 0.1697 0.5000

[24]
The following is a PBE calculation of an optimized crystal structure of Sb3Au, from the Alexandria database.

Mass density = 9.3 g cm⁻³
Formation energy without anion corrections = 0.221 eV/atom
Offset from the most stable computed form = 235.3 meV per atom

Cell lengths 9.9733, 9.9733, 3.5063 Å; angles 90.00, 90.00, 120.00 degrees
Space group R-3m (No. 166, hexagonal axes)
Asymmetric unit:
Sb1 0.0000 0.5000 0.0000
Au1 0.0000 0.0000 0.0000

[25]
The following is a PBE calculation of an optimized crystal structure of Sb3Au, from the Alexandria database.

Mass density = 9.1 g cm⁻³
Formation energy without anion corrections = 0.363 eV/atom
Offset from the most stable computed form = 377.5 meV per atom

Cell lengths 5.8991, 5.8991, 5.8991 Å; angles 90.00, 90.00, 90.00 degrees
Space group Pm-3n (No. 223)
Asymmetric unit:
Sb1 0.0000 0.2500 0.5000
Au1 0.0000 0.0000 0.0000